No. 1
Material: LaMgFe2
Method: DFT, PBE-GGA
State: relaxed

Cell lengths 3.1797, 3.1797, 7.7265 Å; angles 90.00, 90.00, 90.00 degrees
Last column: nearest neighbours and their distance in Å.
Atoms (fractional coordinates):
Mg1 0.5000 0.5000 0.8216  5 Fe 2.75-2.84
Fe1 0.5000 0.5000 0.1772  4 Fe 2.47, 1 Mg 2.75
Fe2 0.0000 0.0000 0.0454  4 Fe 2.47
La1 0.0000 0.0000 0.4559  5 Fe 3.11-3.17, 4 La 3.18

## Properties
E_form: 168 meV/atom
total magnetic moment: 4.592 μB/cell
space group: No. 99

---

No. 2
Material: CuH2W2
Method: DFT, PBE-GGA
State: relaxed

Cell lengths 3.3896, 3.3896, 4.9906 Å; angles 70.15, 70.15, 90.00 degrees
Last column: nearest neighbours and their distance in Å.
Atoms (fractional coordinates):
H1 0.2500 0.7500 0.5000  4 W 1.89
H2 0.7500 0.2500 0.5000  4 W 1.89
W1 0.3462 0.3462 0.3077  4 H 1.89
W2 0.6538 0.6538 0.6923  4 H 1.89
Cu1 0.0000 0.0000 0.0000  10 W 2.75-3.03, 8 H 2.77

## Properties
total magnetic moment: 0.000 μB/cell
VASP energy: -0.51510 Ry per atom
space group: No. 139

---

No. 3
Material: KTi2F8
Method: DFT, PBE-GGA
State: relaxed

Cell lengths 5.5558, 6.2038, 6.2038 Å; angles 62.55, 93.94, 93.94 degrees
Last column: nearest neighbours and their distance in Å.
Atoms (fractional coordinates):
K1 0.0000 0.0000 0.0000  6 F 2.57-2.86
F1 0.1841 0.7852 0.7852  1 Ti 1.84
F2 0.3726 0.3605 0.9448  2 Ti 1.96-2.13
F3 0.6985 0.6059 0.6059  1 Ti 1.81
F4 0.6274 0.6395 0.0552  2 Ti 1.96-2.13
F5 0.8159 0.2148 0.2148  1 Ti 1.84
F6 0.3726 0.9448 0.3605  2 Ti 1.96-2.13
F7 0.3015 0.3941 0.3941  1 Ti 1.81
F8 0.6274 0.0552 0.6395  2 Ti 1.96-2.13
Ti1 0.5112 0.2717 0.2717  4 F 1.81-1.96
Ti2 0.4888 0.7283 0.7283  4 F 1.81-1.96

## Properties
formation energy (no corrections): -3247 meV per atom
total magnetic moment: 1.000 μB/cell
space group: No. 12